# ReBi3S

A crystal of ReBi3S relaxed with PBEsol (meta-GGA SCAN, Alexandria).

```
ReBi3S
1.0
-4.449 -0.701 -2.633
-1.854 -2.916 3.909
-1.997 4.269 2.238
Re S Bi
1 1 3
Cartesian
0.000 0.000 0.000
-4.150 0.326 1.757
-0.927 -1.458 1.954
-0.999 2.135 1.119
-2.225 -0.350 -1.317
```

Calculated values
magnetic moment = 0.000 μB per atom
N(E_F) = 3.9 states/eV per cell
formation energy from raw total energies = 382 kJ/mol of formula units